Entry from the Alexandria database: LiSb2W after structural relaxation (PBE-GGA).

Crystal system   tetragonal
Energy relative to the elements, uncorrected   368 meV/atom
Symmetry   P4/mmm, No. 123
Calculated total energy   -5.410 eV per atom
Magnetization   0.00 μB/atom

Cell: 3.435 4.736 4.736 Å, 90.00 90.00 90.00°
Fractional positions:
1 Sb 0.000 0.000 0.000
2 Sb 0.000 0.500 0.500
3 Li 0.500 0.000 0.500
4 W 0.500 0.500 0.000

Entry from the Alexandria database: AgTeP2Br after structural relaxation (PBE-GGA).

Crystal system   tetragonal
Energy relative to the elements, uncorrected   1016 meV/atom
Symmetry   P4/mmm, No. 123
Calculated total energy   -2.681 eV per atom
Magnetization   0.06 μB/atom

Cell: 5.035 5.885 5.035 Å, 90.00 90.00 90.00°
Site moments in Bohr magnetons follow the coordinates.
Fractional positions:
1 Br 0.000 0.500 0.000  0.01
2 P 0.000 0.000 0.500  0.07
3 P 0.500 0.000 0.000  0.08
4 Ag 0.500 0.500 0.500  0.00
5 Te 0.000 0.000 0.000  0.00